No. 1
Hf2Ag (PBE, relaxed); formation enthalpy at 0 K = 0.5386 eV/atom; total moment = 0.04 Bohr magnetons per cell; space-group type = No. 225
1.0
0.0000 3.2635 3.2635
3.2635 0.0000 3.2635
3.2635 3.2635 0.0000
Hf Ag
2 1
Direct
0.2500 0.2500 0.2500
0.7500 0.7500 0.7500
0.0000 0.0000 0.0000

=====

No. 2
SrZnHgS3 (PBE, relaxed); distance to the lowest polymorph of the same formula = 0.107 eV/atom; space-group type = No. 63
1.0
1.9095 -6.8713 0.0000
1.9095 6.8713 0.0000
0.0000 0.0000 11.2214
Sr Zn Hg S
2 2 2 6
Direct
0.2100 0.7900 0.7500
0.7900 0.2100 0.2500
0.0000 0.0000 0.0000
0.0000 0.0000 0.5000
0.4895 0.5105 0.7500
0.5105 0.4895 0.2500
0.1317 0.8683 0.2500
0.3922 0.6078 0.0703
0.3922 0.6078 0.4297
0.6078 0.3922 0.5703
0.6078 0.3922 0.9297
0.8683 0.1317 0.7500

=====

No. 3
SiTcBi (PBE, relaxed); distance to the lowest polymorph of the same formula = 0.000 eV/atom; total moment = 0.01 Bohr magnetons per cell; space-group type = No. 216
1.0
0.0000 3.1503 3.1503
3.1503 0.0000 3.1503
3.1503 3.1503 0.0000
Si Tc Bi
1 1 1
Direct
0.0000 0.0000 0.0000
0.7500 0.7500 0.7500
0.5000 0.5000 0.5000

=====

No. 4
BaZnCoSe3 (PBE, relaxed); distance to the lowest polymorph of the same formula = 0.000 eV/atom; total moment = 5.97 Bohr magnetons per cell; space-group type = No. 63
1.0
2.0487 -6.9210 0.0000
2.0487 6.9210 0.0000
0.0000 0.0000 10.2650
Ba Zn Co Se
2 2 2 6
Direct
0.2483 0.7517 0.7500
0.7517 0.2483 0.2500
0.5000 0.5000 0.0000
0.5000 0.5000 0.5000
0.0326 0.9674 0.2500
0.9674 0.0326 0.7500
0.1262 0.8738 0.0547
0.1262 0.8738 0.4453
0.4396 0.5604 0.2500
0.5604 0.4396 0.7500
0.8738 0.1262 0.5547
0.8738 0.1262 0.9453

=====

No. 5
CdAgTe (PBE, relaxed); distance to the lowest polymorph of the same formula = 0.000 eV/atom; space-group type = No. 216
1.0
0.0000 3.4093 3.4093
3.4093 0.0000 3.4093
3.4093 3.4093 0.0000
Cd Ag Te
1 1 1
Direct
0.0000 0.0000 0.0000
0.2500 0.2500 0.2500
0.5000 0.5000 0.5000

=====

No. 6
LiHfNiSn (PBE, relaxed); distance to the lowest polymorph of the same formula = 0.000 eV/atom; total moment = 0.00 Bohr magnetons per cell; space-group type = No. 216
1.0
0.0000 3.1595 3.1595
3.1595 0.0000 3.1595
3.1595 3.1595 0.0000
Li Hf Ni Sn
1 1 1 1
Direct
0.0000 0.0000 0.0000
0.7500 0.7500 0.7500
0.5000 0.5000 0.5000
0.2500 0.2500 0.2500

=====

no.,calculated total energy (eV per atom)
1,-7.04
2,-3.37
3,-6.10
4,-4.22
5,-2.34
6,-5.71